(1)
First-principles (PBE) data for a geometry-optimized Y2TaCoMo structure, as listed in Alexandria via LeMat-Bulk.

abc: 4.9992 4.5567 4.9992
angles: 90.00 90.00 90.00
Positions (direct):
Y: 0.0000 0.0000 0.5000
Y: 0.5000 0.0000 0.0000
Mo: 0.0000 0.5000 0.0000
Co: 0.0000 0.0000 0.0000
Ta: 0.5000 0.5000 0.5000

Values from the calculation:
Symmetry: P4/mmm
Fermi-level density of states (states/eV per cell): 6.07
Formation enthalpy at 0 K (eV/f.u.): 4.18

---

(2)
First-principles (PBE) data for a geometry-optimized ZnRe2Pt structure, as listed in Alexandria via LeMat-Bulk.

abc: 4.7474 4.7474 4.7474
angles: 131.21 131.21 71.48
Positions (direct):
Pt: 0.7500 0.2500 0.5000
Re: 0.0000 0.0000 0.0000
Re: 0.2500 0.7500 0.5000
Zn: 0.5000 0.5000 0.0000

Values from the calculation:
Symmetry: I-4m2
Fermi-level density of states (states/eV per cell): 3.25
Formation enthalpy at 0 K (eV/f.u.): 0.44

---

(3)
First-principles (PBE) data for a geometry-optimized CoCu4Ni5 structure, as listed in Alexandria via LeMat-Bulk.

abc: 2.5051 2.5051 17.8960
angles: 90.00 90.00 90.00
Last column: magnetic moment on the atom in μB.
Positions (direct):
Co: 0.0000 0.0000 0.0000  1.70
Cu: 0.0000 0.0000 0.1980  0.00
Cu: 0.0000 0.0000 0.3990  0.01
Cu: 0.0000 0.0000 0.6010  0.01
Cu: 0.0000 0.0000 0.8020  0.00
Ni: 0.5000 0.5000 0.0955  0.58
Ni: 0.5000 0.5000 0.2980  0.04
Ni: 0.5000 0.5000 0.5000  0.06
Ni: 0.5000 0.5000 0.7020  0.04
Ni: 0.5000 0.5000 0.9045  0.58

Values from the calculation:
Symmetry: P4/mmm
Fermi-level density of states (states/eV per cell): 12.39
Formation enthalpy at 0 K (eV/f.u.): 0.31

---

(4)
First-principles (PBE) data for a geometry-optimized Pm6Ge2S3 structure, as listed in Alexandria via LeMat-Bulk.

abc: 6.9367 6.9840 6.9840
angles: 120.00 90.00 90.00
Positions (direct):
Pm: 0.7491 0.3289 0.3290
Pm: 0.7491 0.0001 0.6711
Pm: 0.7491 0.6710 0.9999
Pm: 0.2509 0.6711 0.6710
Pm: 0.2509 0.9999 0.3289
Pm: 0.2509 0.3290 0.0001
Ge: 0.5000 0.3333 0.6667
Ge: 0.5000 0.6667 0.3333
S: 0.0000 0.6667 0.3333
S: 0.0000 0.3333 0.6667
S: 0.5000 0.0000 0.0000

Values from the calculation:
ΔE_f (raw) (eV per formula unit): -14.58
Symmetry: P-31m
Fermi-level density of states (states/eV per cell): 7.70

---

(5)
First-principles (PBE) data for a geometry-optimized ZrCdAs structure, as listed in Alexandria via LeMat-Bulk.

abc: 3.6769 3.6820 9.4107
angles: 90.00 90.17 90.00
Positions (direct):
As: 0.4560 0.5000 0.2114
As: 0.9534 0.5000 0.8964
Zr: 0.9556 0.0000 0.1159
Zr: 0.4525 0.0000 0.7894
Cd: 0.4502 0.0000 0.4387
Cd: 0.9511 0.5000 0.5920

Values from the calculation:
Symmetry: Pm
Fermi-level density of states (states/eV per cell): 3.71
Formation enthalpy at 0 K (eV/f.u.): -1.61

---

(6)
First-principles (PBE) data for a geometry-optimized YAg2Mo structure, as listed in Alexandria via LeMat-Bulk.

abc: 4.2641 4.2663 4.3168
angles: 90.00 90.00 90.00
Last column: magnetic moment on the atom in μB.
Positions (direct):
Ag: 0.0000 0.0000 0.0000  0.01
Ag: 0.5000 0.5000 0.0000  0.01
Mo: 0.5000 0.0000 0.5000  0.79
Y: 0.0000 0.5000 0.5000  0.02

Values from the calculation:
Symmetry: P4/mmm
Fermi-level density of states (states/eV per cell): 3.98
Formation enthalpy at 0 K (eV/f.u.): 1.27

---

Across the entries above, M_tot takes the values 0.0, 0.0, 2.9, 0.0, 0.0, 0.9 μB per formula unit, respectively.